First-principles (SCAN) data for LaMn2BPt at its PBEsol-relaxed geometry, as listed in the Alexandria database.

Lattice parameters (Å, degrees): 4.0488 4.8678 4.8678 90.00 90.00 90.00
With the nearest neighbours (Å) after each atom.
Fractional coordinates of all 5 atoms:
La (0.5000, 0.5000, 0.5000)  8 Mn 3.17, 4 B 3.44
Mn (0.0000, 0.0000, 0.5000)  2 Pt 2.43
B (0.5000, 0.0000, 0.0000)  2 Pt 2.02
Mn (0.0000, 0.5000, 0.0000)  2 Pt 2.43
Pt (0.0000, 0.0000, 0.0000)  2 B 2.02

Results
Fermi-level density of states	0.579	states/eV per atom
electronic total energy	-157.70	eV for the cell shown
calculated formation energy	-92.9	meV per atom